*A*
Computed, not measured: a PBEsol-optimized structure of SrCoRu2 at the SCAN level of DFT.

Output
Total moment (μB/f.u.): 0.4

a = 5.4825 Å, b = 8.7736 Å, c = 2.6194 Å
α = 90.00°, β = 90.00°, γ = 90.00°
With the nearest neighbours (Å) after each atom.
Space group Cmmm (No. 65)
Symmetry-distinct sites (fractional):
Sr 0.0000 0.0000 0.0000 [2 per cell]  2 Sr 2.62, 2 Co 2.74, 8 Ru 2.90
Co 0.0000 0.5000 0.0000 [2 per cell]  2 Co 2.62, 2 Sr 2.74, 8 Ru 2.90
Ru 0.2500 0.2500 0.5000 [4 per cell]  4 Ru 2.62-2.74, 4 Co 2.90, 4 Sr 2.90

***

*B*
Computed, not measured: a PBEsol-optimized structure of SrCoRu2 at the SCAN level of DFT.

Output
Total moment (μB/f.u.): 0.0

a = 2.7327 Å, b = 4.6046 Å, c = 9.9590 Å
α = 90.00°, β = 90.00°, γ = 90.00°
With the nearest neighbours (Å) after each atom.
Space group Immm (No. 71)
Symmetry-distinct sites (fractional):
Sr 0.0000 0.0000 0.0000 [2 per cell]  4 Co 2.68, 2 Sr 2.73
Co 0.0000 0.0000 0.5000 [2 per cell]  4 Ru 2.52, 4 Sr 2.68, 2 Co 2.73
Ru 0.0000 0.5000 0.2124 [4 per cell]  2 Co 2.52, 6 Ru 2.73-2.78

***

*C*
Computed, not measured: a PBEsol-optimized structure of SrCoRu2 at the SCAN level of DFT.

Output
Total moment (μB/f.u.): 3.6

a = 6.3555 Å, b = 6.3555 Å, c = 6.3555 Å
α = 90.00°, β = 90.00°, γ = 90.00°
With the nearest neighbours (Å) after each atom.
Space group F-43m (No. 216)
Symmetry-distinct sites (fractional):
Sr 0.0000 0.0000 0.0000 [4 per cell]  4 Co 2.75, 4 Ru 2.75
Co 0.2500 0.2500 0.7500 [4 per cell]  4 Sr 2.75, 4 Ru 2.75
Ru 0.0000 0.0000 0.5000 [4 per cell]  4 Co 2.75, 4 Ru 2.75
Ru 0.2500 0.2500 0.2500 [4 per cell]  4 Ru 2.75, 4 Sr 2.75

***

*D*
Computed, not measured: a PBEsol-optimized structure of SrCoRu2 at the SCAN level of DFT.

Output
Total moment (μB/f.u.): 4.5

a = 6.3392 Å, b = 6.3392 Å, c = 6.3392 Å
α = 90.00°, β = 90.00°, γ = 90.00°
With the nearest neighbours (Å) after each atom.
Space group Fm-3m (No. 225)
Symmetry-distinct sites (fractional):
Sr 0.0000 0.0000 0.0000 [4 per cell]  8 Ru 2.74
Co 0.0000 0.0000 0.5000 [4 per cell]  8 Ru 2.74
Ru 0.2500 0.2500 0.2500 [8 per cell]  4 Co 2.74, 4 Sr 2.74

***

Which one sits at the top of the stability order? *B* does.

***

*A*
Computed, not measured: a PBEsol-optimized structure of SrCo2Ru at the SCAN level of DFT.

Output
Total moment (μB/f.u.): 4.4

a = 3.0419 Å, b = 3.0419 Å, c = 6.9755 Å
α = 90.00°, β = 90.00°, γ = 90.00°
With the nearest neighbours (Å) after each atom.
Space group P4/mmm (No. 123)
Symmetry-distinct sites (fractional):
Sr 0.0000 0.0000 0.0000 [1 per cell]  4 Sr 3.04, 8 Co 3.13
Co 0.5000 0.5000 0.3257 [2 per cell]  1 Co 2.43, 4 Ru 2.47
Ru 0.0000 0.0000 0.5000 [1 per cell]  8 Co 2.47

***

*B*
Computed, not measured: a PBEsol-optimized structure of SrCo2Ru at the SCAN level of DFT.

Output
Total moment (μB/f.u.): 4.7

a = 6.2916 Å, b = 6.2916 Å, c = 6.2916 Å
α = 90.00°, β = 90.00°, γ = 90.00°
With the nearest neighbours (Å) after each atom.
Space group Fm-3m (No. 225)
Symmetry-distinct sites (fractional):
Sr 0.0000 0.0000 0.0000 [4 per cell]  8 Co 2.72
Co 0.2500 0.2500 0.2500 [8 per cell]  4 Ru 2.72, 4 Sr 2.72
Ru 0.0000 0.0000 0.5000 [4 per cell]  8 Co 2.72

***

Which one sits at the top of the stability order? *A* does.

***

*A*
Computed, not measured: a PBEsol-optimized structure of SrCo2Ru at the SCAN level of DFT.

Output
Total moment (μB/f.u.): 3.6

a = 4.0806 Å, b = 4.0806 Å, c = 15.7730 Å
α = 90.00°, β = 90.00°, γ = 120.00°
With the nearest neighbours (Å) after each atom.
Space group R-3m (No. 166, hexagonal axes)
Symmetry-distinct sites (fractional):
Sr 0.0000 0.0000 0.0000 [3 per cell]  8 Co 2.98-3.28
Co 0.0000 0.0000 0.1887 [6 per cell]  3 Ru 2.38, 3 Co 2.46
Ru 0.0000 0.0000 0.5000 [3 per cell]  6 Co 2.38

***

*B*
Computed, not measured: a PBEsol-optimized structure of SrCo2Ru at the SCAN level of DFT.

Output
Total moment (μB/f.u.): 4.3

a = 4.5094 Å, b = 4.5094 Å, c = 3.0120 Å
α = 90.00°, β = 90.00°, γ = 90.00°
With the nearest neighbours (Å) after each atom.
Space group P4/mmm (No. 123)
Symmetry-distinct sites (fractional):
Sr 0.0000 0.0000 0.0000 [1 per cell]  8 Co 2.71, 2 Sr 3.01
Co 0.0000 0.5000 0.5000 [2 per cell]  4 Ru 2.71, 4 Sr 2.71, 2 Co 3.01
Ru 0.5000 0.5000 0.0000 [1 per cell]  8 Co 2.71, 2 Ru 3.01

***

*C*
Computed, not measured: a PBEsol-optimized structure of SrCo2Ru at the SCAN level of DFT.

Output
Total moment (μB/f.u.): 4.5

a = 6.2611 Å, b = 6.2611 Å, c = 6.2611 Å
α = 90.00°, β = 90.00°, γ = 90.00°
With the nearest neighbours (Å) after each atom.
Space group F-43m (No. 216)
Symmetry-distinct sites (fractional):
Sr 0.0000 0.0000 0.0000 [4 per cell]  4 Co 2.71, 4 Ru 2.71
Co 0.0000 0.0000 0.5000 [4 per cell]  4 Co 2.71, 4 Ru 2.71
Co 0.2500 0.2500 0.2500 [4 per cell]  4 Co 2.71, 4 Sr 2.71
Ru 0.2500 0.2500 0.7500 [4 per cell]  4 Co 2.71, 4 Sr 2.71

***

Which one sits at the top of the stability order? *A* does.

***

*A*
Computed, not measured: a PBEsol-optimized structure of TlCoRu2 at the SCAN level of DFT.

Output
Total moment (μB/f.u.): 3.9

a = 5.3540 Å, b = 9.1161 Å, c = 2.7758 Å
α = 90.00°, β = 118.58°, γ = 90.00°
With the nearest neighbours (Å) after each atom.
Space group C2/m (No. 12)
Symmetry-distinct sites (fractional):
Tl 0.0000 0.0000 0.0000 [2 per cell]  4 Ru 2.67, 4 Co 2.68-2.79, 2 Tl 2.78
Co 0.0000 0.5000 0.0000 [2 per cell]  4 Ru 2.67, 4 Tl 2.68-2.79, 2 Co 2.78
Ru 0.2500 0.2500 0.5000 [4 per cell]  2 Tl 2.67, 2 Co 2.67, 6 Ru 2.68-2.79

***

*B*
Computed, not measured: a PBEsol-optimized structure of TlCoRu2 at the SCAN level of DFT.

Output
Total moment (μB/f.u.): 3.2

a = 2.8165 Å, b = 2.8165 Å, c = 25.7885 Å
α = 90.00°, β = 90.00°, γ = 120.00°
With the nearest neighbours (Å) after each atom.
Space group R-3m (No. 166, hexagonal axes)
Symmetry-distinct sites (fractional):
Tl 0.0000 0.0000 0.0000 [3 per cell]  6 Tl 2.82, 6 Ru 2.89
Co 0.0000 0.0000 0.5000 [3 per cell]  6 Ru 2.51
Ru 0.0000 0.0000 0.2409 [6 per cell]  3 Co 2.51

***

Which one sits at the top of the stability order? *A* does.

***

*A*
Computed, not measured: a PBEsol-optimized structure of Co2RuW at the SCAN level of DFT.

Output
Total moment (μB/f.u.): 0.9

a = 3.6398 Å, b = 3.6398 Å, c = 3.6572 Å
α = 90.00°, β = 90.00°, γ = 90.00°
With the nearest neighbours (Å) after each atom.
Space group P4/mmm (No. 123)
Symmetry-distinct sites (fractional):
Co 0.0000 0.5000 0.0000 [2 per cell]  4 Co 2.57, 4 W 2.58, 4 Ru 2.58
Ru 0.0000 0.0000 0.5000 [1 per cell]  4 W 2.57, 8 Co 2.58
W 0.5000 0.5000 0.5000 [1 per cell]  4 Ru 2.57, 8 Co 2.58

***

*B*
Computed, not measured: a PBEsol-optimized structure of Co2RuW at the SCAN level of DFT.

Output
Total moment (μB/f.u.): 3.4

a = 8.5124 Å, b = 2.6496 Å, c = 4.5060 Å
α = 90.00°, β = 100.77°, γ = 90.00°
With the nearest neighbours (Å) after each atom.
Space group C2/m (No. 12)
Symmetry-distinct sites (fractional):
Co 0.2475 0.0000 0.2432 [4 per cell]  3 Ru 2.56-2.59, 6 Co 2.57-2.66, 3 W 2.59-2.60
Ru 0.0000 0.5000 0.0000 [2 per cell]  6 Co 2.56-2.59, 4 W 2.61, 2 Ru 2.65
W 0.0000 0.0000 0.5000 [2 per cell]  6 Co 2.59-2.60, 4 Ru 2.61, 2 W 2.65

***

*C*
Computed, not measured: a PBEsol-optimized structure of Co2RuW at the SCAN level of DFT.

Output
Total moment (μB/f.u.): 0.5

a = 2.6173 Å, b = 4.1345 Å, c = 4.4807 Å
α = 90.00°, β = 90.00°, γ = 90.00°
With the nearest neighbours (Å) after each atom.
Space group Pmm2 (No. 25)
Symmetry-distinct sites (fractional):
Co 0.0000 0.0000 0.0000 [1 per cell]  4 Co 2.51-2.62, 4 Ru 2.54, 4 W 2.58-2.61
Co 0.0000 0.5000 0.3183 [1 per cell]  4 Ru 2.48-2.71, 4 Co 2.51-2.62, 4 W 2.57
Ru 0.5000 0.5000 0.8475 [1 per cell]  8 Co 2.48-2.71, 2 W 2.60, 2 Ru 2.62
W 0.5000 0.0000 0.4951 [1 per cell]  8 Co 2.57-2.61, 2 Ru 2.60, 2 W 2.62

***

Which one sits at the top of the stability order? *A* does.

***

*A*
Computed, not measured: a PBEsol-optimized structure of YCo2Ru at the SCAN level of DFT.

Output
Total moment (μB/f.u.): 4.2

a = 2.7539 Å, b = 2.7539 Å, c = 26.2220 Å
α = 90.00°, β = 90.00°, γ = 120.00°
With the nearest neighbours (Å) after each atom.
Space group R-3m (No. 166, hexagonal axes)
Symmetry-distinct sites (fractional):
Y 0.0000 0.0000 0.0000 [3 per cell]  6 Y 2.75, 6 Co 2.90
Co 0.0000 0.0000 0.2406 [6 per cell]  3 Ru 2.51, 6 Co 2.75
Ru 0.0000 0.0000 0.5000 [3 per cell]  6 Co 2.51, 6 Ru 2.75

***

*B*
Computed, not measured: a PBEsol-optimized structure of YCo2Ru at the SCAN level of DFT.

Output
Total moment (μB/f.u.): 4.5

a = 3.0517 Å, b = 4.4186 Å, c = 8.7047 Å
α = 90.00°, β = 90.00°, γ = 90.00°
With the nearest neighbours (Å) after each atom.
Space group Imm2 (No. 44)
Symmetry-distinct sites (fractional):
Y 0.0000 0.0000 0.0000 [2 per cell]  8 Co 2.69-2.96, 4 Ru 2.84-2.95
Co 0.0000 0.0000 0.4882 [2 per cell]  2 Co 2.41, 2 Ru 2.56, 4 Y 2.69
Co 0.0000 0.5000 0.7735 [2 per cell]  2 Co 2.41
Ru 0.0000 0.5000 0.2245 [2 per cell]  6 Co 2.56-2.72, 2 Y 2.84

***

Which one sits at the top of the stability order? *B* does.